! CdP2 (PBE, optimized geometry); values from VASP
! space group: No. 33
! formation energy from the elements: -125 meV/atom
&SYSTEM
  ibrav = 0, nat = 12, ntyp = 2
/
ATOMIC_SPECIES
Cd 112.41 Cd.upf
P 30.97 P.upf
ATOMIC_POSITIONS crystal
Cd 0.152 0.101 0.000
Cd 0.348 0.601 0.500
Cd 0.652 0.399 0.000
Cd 0.848 0.899 0.500
P 0.006 0.725 0.150
P 0.120 0.441 0.346
P 0.380 0.941 0.846
P 0.494 0.225 0.650
P 0.506 0.775 0.150
P 0.620 0.059 0.346
P 0.880 0.559 0.846
P 0.994 0.275 0.650
CELL_PARAMETERS angstrom
10.007 0.000 0.000
0.000 5.472 0.000
0.000 0.000 5.239

=====

! ZnCo2Au (PBE, optimized geometry); values from VASP
! space group: No. 8
! formation energy from the elements: 104 meV/atom
&SYSTEM
  ibrav = 0, nat = 4, ntyp = 3
/
ATOMIC_SPECIES
Zn 65.41 Zn.upf
Co 58.93 Co.upf
Au 196.97 Au.upf
ATOMIC_POSITIONS crystal
Zn 0.000 0.000 0.000
Co 0.250 0.250 0.739
Co 0.514 0.514 0.550
Au 0.758 0.758 0.256
CELL_PARAMETERS angstrom
4.308 -1.370 0.000
4.308 1.370 0.000
-0.876 0.000 4.601

=====

! FeP2Se (PBE, optimized geometry); values from VASP
! space group: No. 160
! raw formation energy: 0.06 eV/atom
&SYSTEM
  ibrav = 0, nat = 4, ntyp = 3
/
ATOMIC_SPECIES
Fe 55.84 Fe.upf
P 30.97 P.upf
Se 78.96 Se.upf
ATOMIC_POSITIONS crystal
Fe 0.000 0.000 0.000
P 0.461 0.461 0.461
P 0.742 0.742 0.742
Se 0.279 0.279 0.279
CELL_PARAMETERS angstrom
1.587 0.916 8.368
-1.587 0.916 8.368
0.000 -1.832 8.368

=====

! Be2Sb2Pb (PBE, optimized geometry); values from VASP
! space group: No. 139
! raw formation energy: 0.22 eV/atom
&SYSTEM
  ibrav = 0, nat = 5, ntyp = 3
/
ATOMIC_SPECIES
Be 9.01 Be.upf
Sb 121.76 Sb.upf
Pb 207.20 Pb.upf
ATOMIC_POSITIONS crystal
Be 0.250 0.750 0.500
Be 0.750 0.250 0.500
Sb 0.142 0.142 0.000
Sb 0.858 0.858 0.000
Pb 0.500 0.500 0.000
CELL_PARAMETERS angstrom
-1.932 1.932 7.541
1.932 -1.932 7.541
1.932 1.932 -7.541

=====

! BaAg2W (PBE, optimized geometry); values from VASP
! space group: No. 6
! formation energy from the elements: 849 meV/atom
! E above lowest polymorph: 0.108 eV per atom
&SYSTEM
  ibrav = 0, nat = 4, ntyp = 3
/
ATOMIC_SPECIES
Ba 137.33 Ba.upf
Ag 107.87 Ag.upf
W 183.84 W.upf
ATOMIC_POSITIONS crystal
Ba 0.000 0.000 0.000
Ag 0.234 0.000 0.474
Ag 0.359 0.500 0.717
W 0.677 0.500 0.357
CELL_PARAMETERS angstrom
2.967 0.000 0.000
0.000 4.705 0.000
-1.483 0.000 6.810

=====

! Sr3ZnSi (PBE, optimized geometry); values from VASP
! space group: No. 221
! raw formation energy: 0.02 eV/atom
! E above lowest polymorph: 0.000 eV per atom
&SYSTEM
  ibrav = 0, nat = 5, ntyp = 3
/
ATOMIC_SPECIES
Sr 87.62 Sr.upf
Zn 65.41 Zn.upf
Si 28.09 Si.upf
ATOMIC_POSITIONS crystal
Sr 0.000 0.000 0.500
Sr 0.000 0.500 0.000
Sr 0.500 0.000 0.000
Zn 0.500 0.500 0.500
Si 0.000 0.000 0.000
CELL_PARAMETERS angstrom
6.066 0.000 0.000
0.000 6.066 0.000
0.000 0.000 6.066

=====

! Pu3Sn2Pd6 (PBE, optimized geometry); values from VASP
! space group: No. 229
! formation energy from the elements: -540 meV/atom
&SYSTEM
  ibrav = 0, nat = 22, ntyp = 3
/
ATOMIC_SPECIES
Pu 244.00 Pu.upf
Sn 118.71 Sn.upf
Pd 106.42 Pd.upf
ATOMIC_POSITIONS crystal
Pu 0.000 0.274 0.274
Pu 0.000 0.726 0.726
Pu 0.274 0.000 0.274
Pu 0.274 0.274 0.000
Pu 0.726 0.000 0.726
Pu 0.726 0.726 0.000
Sn 0.000 0.000 0.500
Sn 0.000 0.500 0.000
Sn 0.500 0.000 0.000
Sn 0.500 0.500 0.500
Pd 0.000 0.348 0.652
Pd 0.000 0.652 0.348
Pd 0.305 0.652 0.652
Pd 0.348 0.000 0.652
Pd 0.348 0.348 0.695
Pd 0.348 0.652 0.000
Pd 0.348 0.695 0.348
Pd 0.652 0.000 0.348
Pd 0.652 0.305 0.652
Pd 0.652 0.348 0.000
Pd 0.652 0.652 0.305
Pd 0.695 0.348 0.348
CELL_PARAMETERS angstrom
-4.821 4.821 4.821
4.821 -4.821 4.821
4.821 4.821 -4.821

=====

! Pm6Sm8Tm (PBE, optimized geometry); values from VASP
! space group: No. 148
! formation energy from the elements: 114 meV/atom
&SYSTEM
  ibrav = 0, nat = 15, ntyp = 3
/
ATOMIC_SPECIES
Pm 145.00 Pm.upf
Sm 150.36 Sm.upf
Tm 168.93 Tm.upf
ATOMIC_POSITIONS crystal
Pm 0.039 0.736 0.600
Pm 0.264 0.400 0.961
Pm 0.400 0.961 0.264
Pm 0.600 0.039 0.736
Pm 0.736 0.600 0.039
Pm 0.961 0.264 0.400
Sm 0.078 0.078 0.078
Sm 0.219 0.249 0.612
Sm 0.249 0.612 0.219
Sm 0.388 0.781 0.751
Sm 0.612 0.219 0.249
Sm 0.751 0.388 0.781
Sm 0.781 0.751 0.388
Sm 0.922 0.922 0.922
Tm 0.500 0.500 0.500
CELL_PARAMETERS angstrom
4.609 2.661 6.982
-4.609 2.661 6.982
0.000 -5.321 6.982

=====

! SrInSb2Au6 (PBE, optimized geometry); values from VASP
! space group: No. 63
! raw formation energy: -0.29 eV/atom
&SYSTEM
  ibrav = 0, nat = 20, ntyp = 4
/
ATOMIC_SPECIES
Sr 87.62 Sr.upf
In 114.82 In.upf
Sb 121.76 Sb.upf
Au 196.97 Au.upf
ATOMIC_POSITIONS crystal
Sr 0.221 0.779 0.750
Sr 0.779 0.221 0.250
In 0.409 0.591 0.250
In 0.591 0.409 0.750
Sb 0.038 0.250 0.750
Sb 0.250 0.038 0.250
Sb 0.750 0.962 0.750
Sb 0.962 0.750 0.250
Au 0.091 0.553 0.250
Au 0.176 0.317 0.250
Au 0.289 0.473 0.750
Au 0.317 0.176 0.750
Au 0.447 0.909 0.250
Au 0.473 0.289 0.250
Au 0.527 0.711 0.750
Au 0.553 0.091 0.750
Au 0.683 0.824 0.250
Au 0.711 0.527 0.250
Au 0.824 0.683 0.750
Au 0.909 0.447 0.750
CELL_PARAMETERS angstrom
6.037 -8.146 0.000
6.037 8.146 0.000
0.000 0.000 4.849

=====

! CsK2LiP (PBE, optimized geometry); values from VASP
! space group: No. 123
! formation energy from the elements: -128 meV/atom
&SYSTEM
  ibrav = 0, nat = 5, ntyp = 4
/
ATOMIC_SPECIES
Cs 132.91 Cs.upf
K 39.10 K.upf
Li 6.94 Li.upf
P 30.97 P.upf
ATOMIC_POSITIONS crystal
Cs 0.000 0.000 0.000
K 0.000 0.500 0.500
K 0.500 0.000 0.500
Li 0.500 0.500 0.000
P 0.500 0.500 0.500
CELL_PARAMETERS angstrom
6.619 0.000 0.000
0.000 6.619 0.000
0.000 0.000 5.001

=====

! SrNdSe2O8 (PBE, optimized geometry); values from VASP
! space group: No. 164
! raw formation energy: -1.60 eV/atom
&SYSTEM
  ibrav = 0, nat = 12, ntyp = 4
/
ATOMIC_SPECIES
Sr 87.62 Sr.upf
Nd 144.24 Nd.upf
Se 78.96 Se.upf
O 16.00 O.upf
ATOMIC_POSITIONS crystal
Sr 0.000 0.000 0.000
Nd 0.000 0.000 0.500
Se 0.333 0.667 0.789
Se 0.667 0.333 0.211
O 0.167 0.334 0.721
O 0.167 0.833 0.721
O 0.333 0.667 0.011
O 0.334 0.167 0.279
O 0.666 0.833 0.721
O 0.667 0.333 0.989
O 0.833 0.167 0.279
O 0.833 0.666 0.279
CELL_PARAMETERS angstrom
5.822 0.000 0.000
-2.911 5.042 0.000
0.000 0.000 7.492

=====

! Sr2CaAu2 (PBE, optimized geometry); values from VASP
! space group: No. 127
! formation energy from the elements: -440 meV/atom
! E above lowest polymorph: 0.243 eV per atom
&SYSTEM
  ibrav = 0, nat = 10, ntyp = 3
/
ATOMIC_SPECIES
Sr 87.62 Sr.upf
Ca 40.08 Ca.upf
Au 196.97 Au.upf
ATOMIC_POSITIONS crystal
Sr 0.138 0.362 0.000
Sr 0.362 0.862 0.000
Sr 0.638 0.138 0.000
Sr 0.862 0.638 0.000
Ca 0.000 0.000 0.000
Ca 0.500 0.500 0.000
Au 0.160 0.660 0.500
Au 0.340 0.160 0.500
Au 0.660 0.840 0.500
Au 0.840 0.340 0.500
CELL_PARAMETERS angstrom
9.085 0.000 0.000
0.000 9.085 0.000
0.000 0.000 3.705

=====

! MnIn2SiSb (PBE, optimized geometry); values from VASP
! space group: No. 123
! raw formation energy: 1.32 eV/atom
&SYSTEM
  ibrav = 0, nat = 5, ntyp = 4
/
ATOMIC_SPECIES
Mn 54.94 Mn.upf
In 114.82 In.upf
Si 28.09 Si.upf
Sb 121.76 Sb.upf
ATOMIC_POSITIONS crystal
Mn 0.000 0.000 0.000
In 0.000 0.500 0.500
In 0.500 0.000 0.500
Si 0.500 0.500 0.000
Sb 0.000 0.000 0.500
CELL_PARAMETERS angstrom
5.660 0.000 0.000
0.000 5.660 0.000
0.000 0.000 4.757

=====

! Ho3Er2Tm7 (PBE, optimized geometry); values from VASP
! space group: No. 65
! formation energy from the elements: 116 meV/atom
! E above lowest polymorph: 0.017 eV per atom
&SYSTEM
  ibrav = 0, nat = 12, ntyp = 3
/
ATOMIC_SPECIES
Ho 164.93 Ho.upf
Er 167.26 Er.upf
Tm 168.93 Tm.upf
ATOMIC_POSITIONS crystal
Ho 0.000 0.000 0.000
Ho 0.185 0.815 0.000
Ho 0.815 0.185 0.000
Er 0.353 0.647 0.500
Er 0.647 0.353 0.500
Tm 0.092 0.908 0.500
Tm 0.269 0.731 0.500
Tm 0.428 0.572 0.000
Tm 0.500 0.500 0.500
Tm 0.572 0.428 0.000
Tm 0.731 0.269 0.500
Tm 0.908 0.092 0.500
CELL_PARAMETERS angstrom
2.791 -18.547 0.000
2.791 18.547 0.000
0.000 0.000 3.541

=====

! TaCdP4 (PBE, optimized geometry); values from VASP
! space group: No. 216
! formation energy from the elements: 619 meV/atom
&SYSTEM
  ibrav = 0, nat = 6, ntyp = 3
/
ATOMIC_SPECIES
Ta 180.95 Ta.upf
Cd 112.41 Cd.upf
P 30.97 P.upf
ATOMIC_POSITIONS crystal
Ta 0.000 0.000 0.000
Cd 0.750 0.750 0.750
P 0.372 0.372 0.372
P 0.372 0.372 0.885
P 0.372 0.885 0.372
P 0.885 0.372 0.372
CELL_PARAMETERS angstrom
0.000 3.623 3.623
3.623 0.000 3.623
3.623 3.623 0.000

=====

! Pm2Dy7Y (PBE, optimized geometry); values from VASP
! space group: No. 65
! formation energy from the elements: 155 meV/atom
! E above lowest polymorph: 0.140 eV per atom
&SYSTEM
  ibrav = 0, nat = 10, ntyp = 3
/
ATOMIC_SPECIES
Pm 145.00 Pm.upf
Dy 162.50 Dy.upf
Y 88.91 Y.upf
ATOMIC_POSITIONS crystal
Pm 0.208 0.792 0.000
Pm 0.792 0.208 0.000
Dy 0.000 0.000 0.000
Dy 0.156 0.352 0.000
Dy 0.315 0.685 0.500
Dy 0.352 0.156 0.000
Dy 0.648 0.844 0.000
Dy 0.685 0.315 0.500
Dy 0.844 0.648 0.000
Y 0.500 0.500 0.500
CELL_PARAMETERS angstrom
3.251 -14.411 0.000
3.251 14.411 0.000
0.000 0.000 3.522

=====

! Pm3Er5O12 (PBE, optimized geometry); values from VASP
! space group: No. 230
! raw formation energy: -3.39 eV/atom
&SYSTEM
  ibrav = 0, nat = 80, ntyp = 3
/
ATOMIC_SPECIES
Pm 145.00 Pm.upf
Er 167.26 Er.upf
O 16.00 O.upf
ATOMIC_POSITIONS crystal
Pm 0.125 0.250 0.375
Pm 0.125 0.375 0.750
Pm 0.250 0.375 0.125
Pm 0.250 0.875 0.625
Pm 0.375 0.125 0.250
Pm 0.375 0.750 0.125
Pm 0.625 0.250 0.875
Pm 0.625 0.875 0.750
Pm 0.750 0.125 0.375
Pm 0.750 0.625 0.875
Pm 0.875 0.625 0.250
Pm 0.875 0.750 0.625
Er 0.000 0.000 0.000
Er 0.000 0.000 0.500
Er 0.000 0.500 0.000
Er 0.000 0.500 0.500
Er 0.125 0.750 0.875
Er 0.125 0.875 0.250
Er 0.250 0.125 0.875
Er 0.250 0.625 0.375
Er 0.375 0.250 0.625
Er 0.375 0.625 0.750
Er 0.500 0.000 0.000
Er 0.500 0.000 0.500
Er 0.500 0.500 0.000
Er 0.500 0.500 0.500
Er 0.625 0.375 0.250
Er 0.625 0.750 0.375
Er 0.750 0.375 0.625
Er 0.750 0.875 0.125
Er 0.875 0.125 0.750
Er 0.875 0.250 0.125
O 0.041 0.216 0.130
O 0.041 0.325 0.911
O 0.086 0.716 0.675
O 0.086 0.870 0.411
O 0.089 0.630 0.414
O 0.089 0.959 0.675
O 0.130 0.041 0.216
O 0.130 0.589 0.914
O 0.175 0.216 0.586
O 0.175 0.459 0.589
O 0.216 0.130 0.041
O 0.216 0.586 0.175
O 0.284 0.325 0.914
O 0.284 0.459 0.370
O 0.325 0.911 0.041
O 0.325 0.914 0.284
O 0.370 0.284 0.459
O 0.370 0.586 0.911
O 0.411 0.086 0.870
O 0.411 0.825 0.541
O 0.414 0.089 0.630
O 0.414 0.825 0.784
O 0.459 0.370 0.284
O 0.459 0.589 0.175
O 0.541 0.411 0.825
O 0.541 0.630 0.716
O 0.586 0.175 0.216
O 0.586 0.911 0.370
O 0.589 0.175 0.459
O 0.589 0.914 0.130
O 0.630 0.414 0.089
O 0.630 0.716 0.541
O 0.675 0.086 0.716
O 0.675 0.089 0.959
O 0.716 0.541 0.630
O 0.716 0.675 0.086
O 0.784 0.414 0.825
O 0.784 0.870 0.959
O 0.825 0.541 0.411
O 0.825 0.784 0.414
O 0.870 0.411 0.086
O 0.870 0.959 0.784
O 0.911 0.041 0.325
O 0.911 0.370 0.586
O 0.914 0.130 0.589
O 0.914 0.284 0.325
O 0.959 0.675 0.089
O 0.959 0.784 0.870
CELL_PARAMETERS angstrom
-6.766 6.766 6.766
6.766 -6.766 6.766
6.766 6.766 -6.766

=====

! V2CrMo (PBE, optimized geometry); values from VASP
! space group: No. 123
! formation energy from the elements: -86 meV/atom
! E above lowest polymorph: 0.001 eV per atom
&SYSTEM
  ibrav = 0, nat = 4, ntyp = 3
/
ATOMIC_SPECIES
V 50.94 V.upf
Cr 52.00 Cr.upf
Mo 95.94 Mo.upf
ATOMIC_POSITIONS crystal
V 0.000 0.000 0.239
V 0.000 0.000 0.761
Cr 0.500 0.500 0.000
Mo 0.500 0.500 0.500
CELL_PARAMETERS angstrom
2.998 0.000 0.000
0.000 2.998 0.000
0.000 0.000 6.002

=====

! Ac2Ni12Ge3Pt (PBE, optimized geometry); values from VASP
! space group: No. 166
! formation energy from the elements: 148 meV/atom
&SYSTEM
  ibrav = 0, nat = 18, ntyp = 4
/
ATOMIC_SPECIES
Ac 227.00 Ac.upf
Ni 58.69 Ni.upf
Ge 72.64 Ge.upf
Pt 195.08 Pt.upf
ATOMIC_POSITIONS crystal
Ac 0.109 0.109 0.109
Ac 0.891 0.891 0.891
Ni 0.135 0.625 0.625
Ni 0.157 0.157 0.488
Ni 0.157 0.488 0.157
Ni 0.375 0.375 0.865
Ni 0.375 0.865 0.375
Ni 0.488 0.157 0.157
Ni 0.512 0.843 0.843
Ni 0.625 0.135 0.625
Ni 0.625 0.625 0.135
Ni 0.843 0.512 0.843
Ni 0.843 0.843 0.512
Ni 0.865 0.375 0.375
Ge 0.000 0.500 0.500
Ge 0.500 0.000 0.500
Ge 0.500 0.500 0.000
Pt 0.500 0.500 0.500
CELL_PARAMETERS angstrom
3.943 2.277 6.187
-3.943 2.277 6.187
0.000 -4.553 6.187

=====

! VP (PBE, optimized geometry); values from VASP
! space group: No. 194
! formation energy from the elements: -438 meV/atom
&SYSTEM
  ibrav = 0, nat = 4, ntyp = 2
/
ATOMIC_SPECIES
V 50.94 V.upf
P 30.97 P.upf
ATOMIC_POSITIONS crystal
V 0.333 0.667 0.250
V 0.667 0.333 0.750
P 0.333 0.667 0.750
P 0.667 0.333 0.250
CELL_PARAMETERS angstrom
4.039 0.000 0.000
-2.019 3.498 0.000
0.000 0.000 4.693